(1)
Here is a geometry-optimized TbHfZn4 structure from Alexandria via LeMat-Bulk. Energies are from PBE.

Unit cell a=3.2442 b=4.4262 c=7.6904 alpha=90.00 beta=90.00 gamma=90.00
With the nearest neighbours (Å) after each atom.
Atoms (fractional coordinates):
Tb1 0.0000 0.0000 0.0000  12 Zn 3.07-3.08, 2 Tb 3.24
Hf1 0.0000 0.5000 0.5000  12 Zn 2.96-3.00, 2 Hf 3.24
Zn1 0.5000 0.0000 0.3409  3 Zn 2.45-2.54
Zn2 0.5000 0.0000 0.6591  3 Zn 2.45-2.54
Zn3 0.5000 0.5000 0.1776  3 Zn 2.54-2.73
Zn4 0.5000 0.5000 0.8224  3 Zn 2.54-2.73

Summary:
Its density of states at the Fermi level is 4.15 states/eV/f.u. For the formation enthalpy at 0 K, the calculation gives -0.272 eV/atom. The total energy comes out at -21.31 eV/f.u. For the energy above the most stable polymorph in this dataset, the calculation gives 0.000 eV/atom.

---

(2)
Here is a geometry-optimized TbHfZn structure from Alexandria via LeMat-Bulk. Energies are from PBE.

Unit cell a=6.5148 b=6.5148 c=6.5148 alpha=150.38 beta=150.38 gamma=42.39
With the nearest neighbours (Å) after each atom.
Atoms (fractional coordinates):
Tb1 0.0000 0.0000 0.0000  4 Zn 3.16, 4 Hf 3.29, 4 Tb 3.33
Hf1 0.3112 0.3112 0.0000  4 Zn 2.89
Zn1 0.6738 0.6738 0.0000  4 Hf 2.89, 4 Tb 3.16

Summary:
Its density of states at the Fermi level is 1.66 states/eV/f.u. For the formation enthalpy at 0 K, the calculation gives -0.112 eV/atom. The total energy comes out at -16.19 eV/f.u. For the energy above the most stable polymorph in this dataset, the calculation gives 0.000 eV/atom.

---

(3)
Here is a geometry-optimized Tb3HfZn4 structure from Alexandria via LeMat-Bulk. Energies are from PBE.

Unit cell a=3.4966 b=3.4966 c=14.1516 alpha=90.00 beta=90.00 gamma=90.00
With the nearest neighbours (Å) after each atom.
Atoms (fractional coordinates):
Tb1 0.0000 0.0000 0.0000  8 Zn 3.07
Tb2 0.0000 0.0000 0.2602  8 Zn 3.09-3.12, 1 Hf 3.39
Tb3 0.0000 0.0000 0.7398  8 Zn 3.09-3.12, 1 Hf 3.39
Hf1 0.0000 0.0000 0.5000  8 Zn 2.88
Zn1 0.5000 0.5000 0.1291  8 Tb 3.07-3.09
Zn2 0.5000 0.5000 0.3951  4 Hf 2.88, 1 Zn 2.97, 4 Tb 3.12
Zn3 0.5000 0.5000 0.6049  4 Hf 2.88, 1 Zn 2.97, 4 Tb 3.12
Zn4 0.5000 0.5000 0.8709  8 Tb 3.07-3.09

Summary:
Its density of states at the Fermi level is 8.48 states/eV/f.u. For the formation enthalpy at 0 K, the calculation gives -0.274 eV/atom. The total energy comes out at -31.14 eV/f.u.

---

(4)
Here is a geometry-optimized TbHfZn4 structure from Alexandria via LeMat-Bulk. Energies are from PBE.

Unit cell a=5.3362 b=5.3362 c=5.3362 alpha=60.00 beta=60.00 gamma=60.00
With the nearest neighbours (Å) after each atom.
Atoms (fractional coordinates):
Tb1 0.0000 0.0000 0.0000  12 Zn 3.13, 4 Hf 3.27
Hf1 0.7500 0.7500 0.7500  12 Zn 3.13, 4 Tb 3.27
Zn1 0.3758 0.3758 0.3758  6 Zn 2.65-2.69
Zn2 0.3758 0.3758 0.8726  6 Zn 2.65-2.69
Zn3 0.3758 0.8726 0.3758  6 Zn 2.65-2.69
Zn4 0.8726 0.3758 0.3758  6 Zn 2.65-2.69

Summary:
Its density of states at the Fermi level is 5.45 states/eV/f.u. For the formation enthalpy at 0 K, the calculation gives -0.213 eV/atom. The total energy comes out at -20.96 eV/f.u. For the energy above the most stable polymorph in this dataset, the calculation gives 0.059 eV/atom.

---

(5)
Here is a geometry-optimized Tb2HfZn structure from Alexandria via LeMat-Bulk. Energies are from PBE.

Unit cell a=11.4604 b=11.4604 c=11.4604 alpha=16.28 beta=16.28 gamma=16.28
With the nearest neighbours (Å) after each atom.
Atoms (fractional coordinates):
Tb1 0.0954 0.0954 0.0954  3 Zn 3.06, 1 Hf 3.24, 6 Tb 3.25
Tb2 0.9046 0.9046 0.9046  3 Zn 3.06, 1 Hf 3.24, 6 Tb 3.25
Hf1 0.0000 0.0000 0.0000  2 Tb 3.24, 6 Hf 3.25
Zn1 0.5000 0.5000 0.5000  6 Tb 3.06, 6 Zn 3.25

Summary:
Its density of states at the Fermi level is 6.13 states/eV/f.u. For the formation enthalpy at 0 K, the calculation gives 0.326 eV/atom. The total energy comes out at -19.18 eV/f.u. For the energy above the most stable polymorph in this dataset, the calculation gives 0.405 eV/atom.

---

(6)
Here is a geometry-optimized TbHfZr2 structure from Alexandria via LeMat-Bulk. Energies are from PBE.

Unit cell a=3.7809 b=3.7809 c=6.9775 alpha=90.00 beta=90.00 gamma=90.00
With the nearest neighbours (Å) after each atom.
Atoms (fractional coordinates):
Tb1 0.0000 0.0000 0.0000  8 Zr 3.35, 2 Hf 3.49
Hf1 0.0000 0.0000 0.5000  8 Zr 3.05
Zr1 0.5000 0.5000 0.2886  1 Zr 2.95, 4 Hf 3.05
Zr2 0.5000 0.5000 0.7114  1 Zr 2.95, 4 Hf 3.05

Summary:
Its density of states at the Fermi level is 4.89 states/eV/f.u. For the formation enthalpy at 0 K, the calculation gives 0.119 eV/atom. The total energy comes out at -31.20 eV/f.u. For the energy above the most stable polymorph in this dataset, the calculation gives 0.025 eV/atom.

---

(7)
Here is a geometry-optimized TbHfZr14 structure from Alexandria via LeMat-Bulk. Energies are from PBE.

Unit cell a=9.9599 b=6.3093 c=6.3093 alpha=73.06 beta=90.00 gamma=90.00
With the nearest neighbours (Å) after each atom.
Atoms (fractional coordinates):
Tb1 0.0000 0.0000 0.0000  12 Zr 3.12-3.42
Hf1 0.0000 0.4400 0.4400  10 Zr 3.09-3.22
Zr1 0.0000 0.5108 0.9257  7 Zr 3.12-3.26, 2 Tb 3.12-3.25, 2 Hf 3.14-3.22
Zr2 0.0000 0.9257 0.5108  7 Zr 3.12-3.26, 2 Tb 3.12-3.25, 2 Hf 3.14-3.22
Zr3 0.2405 0.2410 0.2410  9 Zr 3.11-3.37, 1 Hf 3.13, 1 Tb 3.42
Zr4 0.2535 0.3010 0.7282  9 Zr 3.02-3.27, 1 Hf 3.09, 1 Tb 3.32
Zr5 0.2535 0.7282 0.3010  9 Zr 3.02-3.27, 1 Hf 3.09, 1 Tb 3.32
Zr6 0.2644 0.7880 0.7880  10 Zr 3.12-3.38, 1 Tb 3.40
Zr7 0.5000 0.0276 0.0276  12 Zr 3.12-3.38
Zr8 0.5000 0.0927 0.5179  11 Zr 3.11-3.25
Zr9 0.5000 0.5179 0.0927  11 Zr 3.11-3.25
Zr10 0.5000 0.5846 0.5846  10 Zr 3.02-3.25
Zr11 0.7356 0.7880 0.7880  10 Zr 3.12-3.38, 1 Tb 3.40
Zr12 0.7465 0.3010 0.7282  9 Zr 3.02-3.27, 1 Hf 3.09, 1 Tb 3.32
Zr13 0.7465 0.7282 0.3010  9 Zr 3.02-3.27, 1 Hf 3.09, 1 Tb 3.32
Zr14 0.7595 0.2410 0.2410  9 Zr 3.11-3.37, 1 Hf 3.13, 1 Tb 3.42

Summary:
Its density of states at the Fermi level is 20.49 states/eV/f.u. For the formation enthalpy at 0 K, the calculation gives 0.063 eV/atom. The total energy comes out at -133.25 eV/f.u.

---

(8)
Here is a geometry-optimized TbHfZr2 structure from Alexandria via LeMat-Bulk. Energies are from PBE.

Unit cell a=11.4584 b=11.4584 c=11.4584 alpha=16.13 beta=16.13 gamma=16.13
With the nearest neighbours (Å) after each atom.
Atoms (fractional coordinates):
Tb1 0.0000 0.0000 0.0000  2 Zr 3.16, 6 Tb 3.21
Hf1 0.5000 0.5000 0.5000  6 Zr 3.11, 6 Hf 3.21
Zr1 0.0933 0.0933 0.0933  3 Hf 3.11, 1 Tb 3.16, 6 Zr 3.21
Zr2 0.9067 0.9067 0.9067  3 Hf 3.11, 1 Tb 3.16, 6 Zr 3.21

Summary:
Its density of states at the Fermi level is 5.24 states/eV/f.u. For the formation enthalpy at 0 K, the calculation gives 0.204 eV/atom. The total energy comes out at -30.87 eV/f.u. For the energy above the most stable polymorph in this dataset, the calculation gives 0.109 eV/atom.

---

(9)
Here is a geometry-optimized TbHfZr2 structure from Alexandria via LeMat-Bulk. Energies are from PBE.

Unit cell a=4.6279 b=4.6279 c=4.5963 alpha=90.00 beta=90.00 gamma=90.00
With the nearest neighbours (Å) after each atom.
Atoms (fractional coordinates):
Tb1 0.0000 0.0000 0.0000  8 Zr 3.26, 4 Hf 3.27
Hf1 0.5000 0.5000 0.0000  8 Zr 3.26, 4 Tb 3.27
Zr1 0.0000 0.5000 0.5000  4 Hf 3.26, 4 Tb 3.26, 4 Zr 3.27
Zr2 0.5000 0.0000 0.5000  4 Hf 3.26, 4 Tb 3.26, 4 Zr 3.27

Summary:
Its density of states at the Fermi level is 6.09 states/eV/f.u. For the formation enthalpy at 0 K, the calculation gives 0.146 eV/atom. The total energy comes out at -31.10 eV/f.u. For the energy above the most stable polymorph in this dataset, the calculation gives 0.051 eV/atom.

---

(10)
Here is a geometry-optimized TbHfZr2 structure from Alexandria via LeMat-Bulk. Energies are from PBE.

Unit cell a=10.8129 b=10.8129 c=10.8129 alpha=17.42 beta=17.42 gamma=17.42
With the nearest neighbours (Å) after each atom.
Atoms (fractional coordinates):
Tb1 0.0000 0.0000 0.0000  6 Tb 3.28, 6 Zr 3.37-3.41
Hf1 0.1672 0.1672 0.1672  6 Zr 3.14, 6 Hf 3.28
Zr1 0.5792 0.5792 0.5792  3 Hf 3.14, 6 Zr 3.28, 3 Tb 3.37
Zr2 0.7553 0.7553 0.7553  3 Hf 3.14, 6 Zr 3.28, 3 Tb 3.41

Summary:
Its density of states at the Fermi level is 5.83 states/eV/f.u. For the formation enthalpy at 0 K, the calculation gives 0.095 eV/atom. The total energy comes out at -31.30 eV/f.u. For the energy above the most stable polymorph in this dataset, the calculation gives 0.000 eV/atom.

---

(11)
Here is a geometry-optimized Hf3Tc structure from Alexandria via LeMat-Bulk. Energies are from PBE.

Unit cell a=5.8948 b=5.8948 c=8.6010 alpha=90.00 beta=90.00 gamma=146.81
With the nearest neighbours (Å) after each atom.
Atoms (fractional coordinates):
Hf1 0.0510 0.9490 0.7500  2 Tc 2.79
Hf2 0.3647 0.6353 0.5548  3 Tc 2.72-2.92
Hf3 0.3647 0.6353 0.9452  3 Tc 2.72-2.92
Hf4 0.6353 0.3647 0.0548  3 Tc 2.72-2.92
Hf5 0.6353 0.3647 0.4452  3 Tc 2.72-2.92
Hf6 0.9490 0.0510 0.2500  2 Tc 2.79
Tc1 0.2516 0.7484 0.2500  8 Hf 2.72-2.92
Tc2 0.7484 0.2516 0.7500  8 Hf 2.72-2.92

Summary:
Its density of states at the Fermi level is 3.54 states/eV/f.u. For the formation enthalpy at 0 K, the calculation gives -0.170 eV/atom. The total energy comes out at -40.91 eV/f.u.

---

(12)
Here is a geometry-optimized Hf3Tc structure from Alexandria via LeMat-Bulk. Energies are from PBE.

Unit cell a=3.2871 b=3.2871 c=7.3489 alpha=90.00 beta=90.00 gamma=90.00
With the nearest neighbours (Å) after each atom.
Atoms (fractional coordinates):
Hf1 0.0000 0.0000 0.0000  12 Hf 3.14-3.29
Hf2 0.5000 0.5000 0.2863  4 Tc 2.81, 5 Hf 3.14
Hf3 0.5000 0.5000 0.7137  4 Tc 2.81, 5 Hf 3.14
Tc1 0.0000 0.0000 0.5000  8 Hf 2.81

Summary:
Its density of states at the Fermi level is 3.72 states/eV/f.u. For the formation enthalpy at 0 K, the calculation gives -0.237 eV/atom. The total energy comes out at -41.17 eV/f.u.

---

(13)
Here is a geometry-optimized Hf3Tc structure from Alexandria via LeMat-Bulk. Energies are from PBE.

Unit cell a=3.1358 b=3.2171 c=8.6477 alpha=90.00 beta=90.00 gamma=90.00
With the nearest neighbours (Å) after each atom.
Atoms (fractional coordinates):
Hf1 0.0000 0.0000 0.0000  10 Hf 3.08-3.32
Hf2 0.0000 0.5000 0.3361  4 Tc 2.70
Hf3 0.5000 0.5000 0.7555  2 Tc 2.66
Tc1 0.5000 0.0000 0.5100  6 Hf 2.66-2.70

Summary:
Its density of states at the Fermi level is 3.82 states/eV/f.u. For the formation enthalpy at 0 K, the calculation gives 0.230 eV/atom. The total energy comes out at -39.31 eV/f.u.

---

(14)
Here is a geometry-optimized Hf7Tc3 structure from Alexandria via LeMat-Bulk. Energies are from PBE.

Unit cell a=8.7782 b=8.7782 c=6.0464 alpha=90.00 beta=90.00 gamma=120.00
With the nearest neighbours (Å) after each atom.
Atoms (fractional coordinates):
Hf1 0.0684 0.5342 0.0000  4 Tc 2.69-2.92
Hf2 0.1241 0.2482 0.7021  3 Tc 2.73-2.85
Hf3 0.1241 0.8759 0.7021  3 Tc 2.73-2.85
Hf4 0.2482 0.1241 0.2021  3 Tc 2.73-2.85
Hf5 0.3333 0.6667 0.6222  3 Tc 2.68
Hf6 0.4658 0.5342 0.0000  4 Tc 2.69-2.92
Hf7 0.4658 0.9316 0.0000  4 Tc 2.69-2.92
Hf8 0.5342 0.0684 0.5000  4 Tc 2.69-2.92
Hf9 0.5342 0.4658 0.5000  4 Tc 2.69-2.92
Hf10 0.6667 0.3333 0.1222  3 Tc 2.68
Hf11 0.7518 0.8759 0.7021  3 Tc 2.73-2.85
Hf12 0.8759 0.1241 0.2021  3 Tc 2.73-2.85
Hf13 0.8759 0.7518 0.2021  3 Tc 2.73-2.85
Hf14 0.9316 0.4658 0.5000  4 Tc 2.69-2.92
Tc1 0.2099 0.4199 0.3056  8 Hf 2.68-2.92
Tc2 0.2099 0.7901 0.3056  8 Hf 2.68-2.92
Tc3 0.4199 0.2099 0.8056  8 Hf 2.68-2.92
Tc4 0.5801 0.7901 0.3056  8 Hf 2.68-2.92
Tc5 0.7901 0.2099 0.8056  8 Hf 2.68-2.92
Tc6 0.7901 0.5801 0.8056  8 Hf 2.68-2.92

Summary:
Its density of states at the Fermi level is 8.72 states/eV/f.u. For the formation enthalpy at 0 K, the calculation gives -0.163 eV/atom. The total energy comes out at -102.41 eV/f.u.